# 1
Ca2ScIn after structural relaxation, computed with PBE.

Formation enthalpy at 0 K   -0.160 eV per atom
Space group   P4mm (99)

The structure in POSCAR format:
```
Ca2ScIn
1.0
-1.269 -1.450 3.060
-2.812 -1.369 -1.815
4.964 -7.939 -1.702
Ca In Sc
2 1 1
Cartesian
-0.559 -3.780 0.114
4.837 -7.736 -1.659
2.602 -4.162 -0.892
1.449 -6.991 -0.574
```



# 2
SrMgTa2 after structural relaxation, computed with PBE.

Formation enthalpy at 0 K   0.789 eV per atom
Space group   Cmmm (65)

The structure in POSCAR format:
```
SrMgTa2
1.0
2.899 0.014 0.000
-0.771 2.795 0.000
0.000 0.000 10.875
Ta Mg Sr
2 1 1
Cartesian
0.000 0.000 0.248
0.000 0.000 5.189
1.064 1.404 2.719
1.064 1.404 8.156
```



# 3
Ce4AuBr6 after structural relaxation, computed with PBE.

Raw total energy   -4.6185 eV per atom
Space group   P4_2/nmc (137)

The structure in POSCAR format:
```
Ce4AuBr6
1.0
7.381 0.000 0.000
0.000 10.012 0.000
0.000 0.000 10.012
Ce Br Au
8 12 2
Cartesian
2.330 0.000 7.523
6.021 2.517 5.006
1.361 5.006 2.517
2.330 0.000 2.489
6.021 7.496 5.006
1.361 5.006 7.496
5.051 2.489 0.000
5.051 7.523 0.000
3.691 7.119 7.119
0.000 2.113 7.900
3.691 7.119 2.894
0.000 7.900 7.900
3.691 2.894 7.119
0.000 2.113 2.113
3.691 2.894 2.894
0.000 7.900 2.113
6.924 5.006 0.000
0.458 0.000 5.006
3.233 5.006 0.000
4.148 0.000 5.006
3.691 0.000 0.000
0.000 5.006 5.006
```